# 1
Crystalline ZrBe17Pd at its relaxed geometry, computed with PBE-GGA.

## Properties
**Formation energy**: -3.449 eV/f.u.

Cell lengths 5.6043, 5.6043, 5.6043 Å; angles 82.98, 82.98, 82.98 degrees
Fractional positions:
Zr (0.0000, 0.0000, 0.0000)
Be (0.0454, 0.3467, 0.6323)
Be (0.0454, 0.6323, 0.3467)
Be (0.2032, 0.6855, 0.6855)
Be (0.2442, 0.2442, 0.2442)
Be (0.3285, 0.3285, 0.8512)
Be (0.3285, 0.8512, 0.3285)
Be (0.3467, 0.0454, 0.6323)
Be (0.3467, 0.6323, 0.0454)
Be (0.4413, 0.4413, 0.4413)
Be (0.5064, 0.9927, 0.9927)
Be (0.6323, 0.0454, 0.3467)
Be (0.6323, 0.3467, 0.0454)
Be (0.6855, 0.2032, 0.6855)
Be (0.6855, 0.6855, 0.2032)
Be (0.8512, 0.3285, 0.3285)
Be (0.9927, 0.5064, 0.9927)
Be (0.9927, 0.9927, 0.5064)
Pd (0.6783, 0.6783, 0.6783)

=====

# 2
Crystalline Ti2Co2As at its relaxed geometry, computed with PBE-GGA.

## Properties
**Formation energy**: -1.948 eV/f.u.

Cell lengths 6.7548, 6.7548, 2.9916 Å; angles 90.00, 90.00, 90.00 degrees
Fractional positions:
Ti (0.1687, 0.3313, 0.0000)
Ti (0.3313, 0.8313, 0.0000)
Ti (0.6687, 0.1687, 0.0000)
Ti (0.8313, 0.6687, 0.0000)
Co (0.1300, 0.6300, 0.5000)
Co (0.3700, 0.1300, 0.5000)
Co (0.6300, 0.8700, 0.5000)
Co (0.8700, 0.3700, 0.5000)
As (0.0000, 0.0000, 0.5000)
As (0.5000, 0.5000, 0.5000)

=====

# 3
Crystalline MnFe3Co2 at its relaxed geometry, computed with PBE-GGA.

## Properties
**Formation energy**: 0.863 eV/f.u.

Cell lengths 7.4584, 7.4584, 7.4584 Å; angles 118.88, 118.88, 91.95 degrees
Fractional positions:
Mn (0.0532, 0.3032, 0.7500)
Mn (0.3032, 0.0532, 0.2500)
Mn (0.6968, 0.9468, 0.7500)
Mn (0.9468, 0.6968, 0.2500)
Fe (0.0000, 0.5000, 0.5000)
Fe (0.0721, 0.3221, 0.1441)
Fe (0.0721, 0.9279, 0.7500)
Fe (0.3221, 0.0721, 0.6441)
Fe (0.3221, 0.6779, 0.2500)
Fe (0.5000, 0.0000, 0.0000)
Fe (0.5000, 0.5000, 0.0000)
Fe (0.5000, 0.5000, 0.5000)
Fe (0.6779, 0.3221, 0.7500)
Fe (0.6779, 0.9279, 0.3559)
Fe (0.9279, 0.0721, 0.2500)
Fe (0.9279, 0.6779, 0.8559)
Co (0.2846, 0.3656, 0.5810)
Co (0.2846, 0.7035, 0.9190)
Co (0.2965, 0.7154, 0.5810)
Co (0.3656, 0.2846, 0.0810)
Co (0.6344, 0.7154, 0.9190)
Co (0.7035, 0.2846, 0.4190)
Co (0.7154, 0.2965, 0.0810)
Co (0.7154, 0.6344, 0.4190)

=====

# 4
Crystalline MnPPt2 at its relaxed geometry, computed with PBE-GGA.

## Properties
**Formation energy**: -0.552 eV/f.u.

Cell lengths 8.2497, 8.2497, 8.2497 Å; angles 19.67, 19.67, 19.67 degrees
Fractional positions:
Mn (0.0000, 0.0000, 0.0000)
P (0.2689, 0.2689, 0.2689)
Pt (0.5214, 0.5214, 0.5214)
Pt (0.7546, 0.7546, 0.7546)

=====

# 5
Crystalline PmEr3Mg2 at its relaxed geometry, computed with PBE-GGA.

## Properties
**Formation energy**: -0.221 eV/f.u.

Cell lengths 3.6241, 3.6241, 13.1277 Å; angles 90.00, 90.00, 90.00 degrees
Fractional positions:
Pm (0.0000, 0.0000, 0.0000)
Er (0.5000, 0.5000, 0.1905)
Er (0.5000, 0.5000, 0.5000)
Er (0.5000, 0.5000, 0.8095)
Mg (0.0000, 0.0000, 0.3475)
Mg (0.0000, 0.0000, 0.6525)

=====

# 6
Crystalline BeBH at its relaxed geometry, computed with PBE-GGA.

## Properties
**Calculated total energy**: -4.4705 eV/atom

Cell lengths 3.7480, 3.8568, 3.8568 Å; angles 48.67, 90.00, 90.00 degrees
Fractional positions:
Be (0.1603, 0.2500, 0.7500)
Be (0.8397, 0.7500, 0.2500)
B (0.3662, 0.8576, 0.3576)
B (0.6338, 0.3576, 0.8576)
H (0.2522, 0.0280, 0.5280)
H (0.7478, 0.5280, 0.0280)

=====

# 7
Crystalline TcSbI2N at its relaxed geometry, computed with PBE-GGA.

## Properties
**Formation energy (no corrections)**: 1726 meV per atom

Cell lengths 5.3363, 5.3363, 5.1254 Å; angles 90.00, 90.00, 90.00 degrees
Fractional positions:
Tc (0.0000, 0.0000, 0.0000)
Sb (0.0000, 0.0000, 0.5000)
I (0.0000, 0.5000, 0.0000)
I (0.5000, 0.0000, 0.0000)
N (0.5000, 0.5000, 0.5000)

=====

# 8
Crystalline Ac3Tb2Pm8 at its relaxed geometry, computed with PBE-GGA.

## Properties
**Formation energy**: 3.422 eV/f.u.

Cell lengths 11.1973, 11.1973, 5.8276 Å; angles 90.04, 90.04, 42.51 degrees
Fractional positions:
Ac (0.0000, 0.0000, 0.0000)
Ac (0.2875, 0.7125, 0.5000)
Ac (0.7125, 0.2875, 0.5000)
Tb (0.2394, 0.2394, 0.9995)
Tb (0.7606, 0.7606, 0.0005)
Pm (0.1368, 0.1368, 0.4999)
Pm (0.1835, 0.5877, 0.9998)
Pm (0.3206, 0.3206, 0.4996)
Pm (0.4123, 0.8165, 0.0002)
Pm (0.5877, 0.1835, 0.9998)
Pm (0.6794, 0.6794, 0.5004)
Pm (0.8165, 0.4123, 0.0002)
Pm (0.8632, 0.8632, 0.5001)

=====

# 9
Crystalline CaPd4Au8 at its relaxed geometry, computed with PBE-GGA.

## Properties
**Formation energy**: -0.613 eV/f.u.

Cell lengths 9.8687, 9.8687, 9.8687 Å; angles 33.67, 33.67, 33.67 degrees
Fractional positions:
Ca (0.0000, 0.0000, 0.0000)
Pd (0.0000, 0.5000, 0.5000)
Pd (0.5000, 0.0000, 0.5000)
Pd (0.5000, 0.5000, 0.0000)
Pd (0.5000, 0.5000, 0.5000)
Au (0.2404, 0.7455, 0.7455)
Au (0.2483, 0.2483, 0.2483)
Au (0.2545, 0.2545, 0.7596)
Au (0.2545, 0.7596, 0.2545)
Au (0.7455, 0.2404, 0.7455)
Au (0.7455, 0.7455, 0.2404)
Au (0.7517, 0.7517, 0.7517)
Au (0.7596, 0.2545, 0.2545)

=====

# 10
Crystalline PmAlPd4 at its relaxed geometry, computed with PBE-GGA.

## Properties
**Formation energy**: -3.663 eV/f.u.

Cell lengths 5.3640, 5.3640, 5.3640 Å; angles 60.00, 60.00, 60.00 degrees
Fractional positions:
Pm (0.0000, 0.0000, 0.0000)
Al (0.2500, 0.2500, 0.2500)
Pd (0.1273, 0.6242, 0.6242)
Pd (0.6242, 0.1273, 0.6242)
Pd (0.6242, 0.6242, 0.1273)
Pd (0.6242, 0.6242, 0.6242)

=====

# 11
Crystalline AcLa2N3 at its relaxed geometry, computed with PBE-GGA.

## Properties
**Formation energy (no corrections)**: -1222 meV per atom

Cell lengths 6.6023, 6.6023, 6.6023 Å; angles 146.49, 131.96, 59.84 degrees
Fractional positions:
Ac (0.0000, 0.0000, 0.0000)
La (0.3314, 0.3314, 0.0000)
La (0.6686, 0.6686, 0.0000)
N (0.1746, 0.6746, 0.5000)
N (0.5000, 0.0000, 0.5000)
N (0.8254, 0.3254, 0.5000)

=====

# 12
Crystalline KPtSe2 at its relaxed geometry, computed with PBE-GGA.

## Properties
**Formation energy (no corrections)**: -430 meV per atom

Cell lengths 4.8250, 4.8250, 8.1312 Å; angles 90.00, 90.00, 133.66 degrees
Fractional positions:
K (0.0000, 0.0000, 0.0000)
Pt (0.0000, 0.0000, 0.5000)
Se (0.5000, 0.5000, 0.3101)
Se (0.5000, 0.5000, 0.6899)

=====

# 13
Crystalline PrMgZnGa at its relaxed geometry, computed with PBE-GGA.

## Properties
**Formation energy**: -1.521 eV/f.u.

Cell lengths 4.9979, 4.9979, 4.9979 Å; angles 60.00, 60.00, 60.00 degrees
Fractional positions:
Pr (0.0000, 0.0000, 0.0000)
Mg (0.5000, 0.5000, 0.5000)
Zn (0.7500, 0.7500, 0.7500)
Ga (0.2500, 0.2500, 0.2500)

=====

no.,M_tot (μB per formula unit),mass density (g cm⁻³)
1,0.0,3.380
2,0.0,7.020
3,14.6,7.582
4,1.7,14.204
5,0.0,6.697
6,0.0,1.652
7,0.0,5.547
8,0.0,7.261
9,0.0,12.878
10,0.0,9.094
11,0.0,7.756
12,0.0,4.755
13,0.0,5.650